The following is a DFT calculation (GGA-PBE) of a relaxed structure of PuPaAs.

Energy of formation   -0.87 eV/f.u.
Energy above the lowest structure with this stoichiometry   308 meV/atom
Uncorrected energy   -9.781 eV/atom

Cell: 4.6650 4.6650 3.4801 Å, 90.00 90.00 120.00°
With the nearest neighbours (Å) after each atom.
Atoms (fractional coordinates):
Pu: 0.0000 0.0000 0.0000  3 As 2.86, 3 Pa 2.88
Pa: 0.3333 0.6667 0.2946  3 Pu 2.88, 3 As 3.08
As: 0.6667 0.3333 0.7236  3 Pu 2.86, 3 Pa 3.08



The following is a DFT calculation (GGA-PBE) of a relaxed structure of PuPa2As3.

Energy of formation   -6.39 eV/f.u.
Energy above the lowest structure with this stoichiometry   0 meV/atom
Uncorrected energy   -8.944 eV/atom

Cell: 7.1088 7.1088 7.1222 Å, 99.58 99.58 120.00°
With the nearest neighbours (Å) after each atom.
Atoms (fractional coordinates):
Pu: 0.1664 0.8336 0.0000  6 As 2.91-2.92
Pu: 0.8336 0.1664 0.0000  6 As 2.91-2.92
Pa: 0.0000 0.0000 0.5000  6 As 2.90
Pa: 0.3320 0.6680 0.5000  6 As 2.89-2.90
Pa: 0.5000 0.5000 0.0000  6 As 2.90
Pa: 0.6680 0.3320 0.5000  6 As 2.89-2.90
As: 0.0846 0.4163 0.7488  4 Pa 2.89-2.90, 2 Pu 2.91-2.92
As: 0.2529 0.2529 0.2529  4 Pa 2.90, 2 Pu 2.92
As: 0.4163 0.0846 0.7488  4 Pa 2.89-2.90, 2 Pu 2.91-2.92
As: 0.5837 0.9154 0.2512  4 Pa 2.89-2.90, 2 Pu 2.91-2.92
As: 0.7471 0.7471 0.7471  4 Pa 2.90, 2 Pu 2.92
As: 0.9154 0.5837 0.2512  4 Pa 2.89-2.90, 2 Pu 2.91-2.92



The lowest energy of formation belongs to which entry? PuPa2As3



The highest energy of formation belongs to which entry? PuPaAs